Here is a relaxed structure of CeP2Rh2 from Alexandria. Energies are from PBE-GGA.

Summary:
M_tot	0.87	μB per formula unit
theoretical density	7.280	g/cm³
E_form	-0.924	eV per atom

Unit cell a=7.0771 b=6.2384 c=6.2269 alpha=69.19 beta=55.48 gamma=55.33
With the nearest neighbours (Å) after each atom.
Atoms (fractional coordinates):
Ce  0.1250  0.1250  0.1250  6 P 3.04-3.16, 4 Rh 3.32
Ce  0.8750  0.8750  0.8750  6 P 3.04-3.16, 4 Rh 3.32
P  0.1787  0.1787  0.5713  4 Rh 2.25-2.39
P  0.4287  0.4287  0.8213  4 Rh 2.25-2.39
P  0.5713  0.5713  0.1787  4 Rh 2.25-2.39
P  0.8213  0.8213  0.4287  4 Rh 2.25-2.39
Rh  0.2398  0.5102  0.2398  4 P 2.25-2.39
Rh  0.4898  0.7602  0.4898  4 P 2.25-2.39
Rh  0.5102  0.2398  0.5102  4 P 2.25-2.39
Rh  0.7602  0.4898  0.7602  4 P 2.25-2.39

Here is a relaxed structure of Ce2P3Rh6 from Alexandria. Energies are from PBE-GGA.

Summary:
M_tot	0.00	μB per formula unit
theoretical density	8.928	g/cm³
E_form	-0.935	eV per atom

Unit cell a=6.9824 b=6.9824 c=4.3636 alpha=90.00 beta=90.00 gamma=120.00
With the nearest neighbours (Å) after each atom.
Atoms (fractional coordinates):
Ce  0.3333  0.6667  0.0000  3 Rh 2.78, 6 P 3.09
Ce  0.6667  0.3333  0.0000  3 Rh 2.78, 6 P 3.09
P  0.0000  0.6238  0.5000  5 Rh 2.33-2.42
P  0.3762  0.3762  0.5000  5 Rh 2.33-2.42
P  0.6238  0.0000  0.5000  5 Rh 2.33-2.42
Rh  0.0000  0.2906  0.5000  3 P 2.33-2.38
Rh  0.0000  0.7744  0.0000  2 P 2.42
Rh  0.2256  0.2256  0.0000  2 P 2.42
Rh  0.2906  0.0000  0.5000  3 P 2.33-2.38
Rh  0.7094  0.7094  0.5000  3 P 2.33-2.38
Rh  0.7744  0.0000  0.0000  2 P 2.42

Here is a relaxed structure of Ce3P2Rh7 from Alexandria. Energies are from PBE-GGA.

Summary:
M_tot	0.68	μB per formula unit
theoretical density	9.506	g/cm³
polymorph energy (0 for the lowest one)	0	meV/atom
E_form	-0.983	eV per atom

Unit cell a=13.0982 b=13.0982 c=4.0180 alpha=90.00 beta=90.00 gamma=162.26
With the nearest neighbours (Å) after each atom.
Atoms (fractional coordinates):
Ce  0.0000  0.0000  0.0000  12 Rh 2.85-2.96
Ce  0.1780  0.8220  0.0000  10 Rh 3.02-3.37, 4 P 3.12
Ce  0.8220  0.1780  0.0000  10 Rh 3.02-3.37, 4 P 3.12
P  0.3715  0.6285  0.5000  5 Rh 2.30-2.34
P  0.6285  0.3715  0.5000  5 Rh 2.30-2.34
Rh  0.0832  0.9168  0.5000  2 P 2.34
Rh  0.2828  0.7172  0.5000  1 P 2.30
Rh  0.4166  0.5834  0.0000  2 P 2.32
Rh  0.5000  0.5000  0.5000  4 Ce 2.85, 8 Rh 2.95
Rh  0.5834  0.4166  0.0000  2 P 2.32
Rh  0.7172  0.2828  0.5000  1 P 2.30
Rh  0.9168  0.0832  0.5000  2 P 2.34

Here is a relaxed structure of Ce2PRh from Alexandria. Energies are from PBE-GGA.

Summary:
M_tot	1.15	μB per formula unit
theoretical density	7.266	g/cm³
polymorph energy (0 for the lowest one)	108	meV/atom
E_form	-0.900	eV per atom

Unit cell a=7.5474 b=7.5474 c=7.5474 alpha=29.91 beta=29.91 gamma=29.91
With the nearest neighbours (Å) after each atom.
Atoms (fractional coordinates):
Ce  0.0000  0.0000  0.0000  3 P 2.85, 3 Rh 2.94
Ce  0.1705  0.1705  0.1705  3 P 2.86, 3 Rh 2.87
P  0.5853  0.5853  0.5853  6 Ce 2.85-2.86
Rh  0.7543  0.7543  0.7543  6 Ce 2.87-2.94

Here is a relaxed structure of CePRh3 from Alexandria. Energies are from PBE-GGA.

Summary:
M_tot	0.20	μB per formula unit
theoretical density	9.368	g/cm³
E_form	-0.936	eV per atom

Unit cell a=5.9384 b=5.9384 c=5.9384 alpha=140.20 beta=140.20 gamma=57.54
With the nearest neighbours (Å) after each atom.
Atoms (fractional coordinates):
Ce  0.0000  0.0000  0.0000  12 Rh 2.96-3.31, 4 P 3.22
P  0.6423  0.6423  0.0000  5 Rh 2.23-2.30
Rh  0.2483  0.7483  0.5000  2 P 2.30
Rh  0.4276  0.4276  0.0000  1 P 2.23
Rh  0.7483  0.2483  0.5000  2 P 2.30

Here is a relaxed structure of Ce3P4Ru2Rh2 from Alexandria. Energies are from PBE-GGA.

Summary:
M_tot	0.00	μB per formula unit
theoretical density	7.755	g/cm³
E_form	-1.095	eV per atom

Unit cell a=4.0362 b=4.0362 c=14.4524 alpha=90.00 beta=90.00 gamma=120.00
With the nearest neighbours (Å) after each atom.
Atoms (fractional coordinates):
Ce  0.0000  0.0000  0.0000  6 P 2.99, 6 Rh 3.17
Ce  0.0000  0.0000  0.2749  6 P 2.96-3.14, 3 Rh 2.96, 3 Ru 3.30
Ce  0.0000  0.0000  0.7251  6 P 2.96-3.14, 3 Rh 2.96, 3 Ru 3.30
P  0.3333  0.6667  0.4008  4 Ru 2.34-2.39
P  0.3333  0.6667  0.8706  3 Rh 2.35
P  0.6667  0.3333  0.1294  3 Rh 2.35
P  0.6667  0.3333  0.5992  4 Ru 2.34-2.39
Ru  0.3333  0.6667  0.5630  4 P 2.34-2.39
Ru  0.6667  0.3333  0.4370  4 P 2.34-2.39
Rh  0.3333  0.6667  0.1482  3 P 2.35
Rh  0.6667  0.3333  0.8518  3 P 2.35

Here is a relaxed structure of CeP2RuRh5 from Alexandria. Energies are from PBE-GGA.

Summary:
M_tot	1.54	μB per formula unit
theoretical density	7.661	g/cm³
E_form	-0.213	eV per atom

Unit cell a=4.0583 b=4.0583 c=10.7604 alpha=90.00 beta=90.00 gamma=90.00
With the nearest neighbours (Å) after each atom.
Atoms (fractional coordinates):
Ce  0.0000  0.0000  0.0000  12 Rh 2.87-2.93
P  0.5000  0.5000  0.2920  1 Ru 2.24, 4 Rh 2.28
P  0.5000  0.5000  0.7080  1 Ru 2.24, 4 Rh 2.28
Ru  0.5000  0.5000  0.5000  2 P 2.24
Rh  0.0000  0.5000  0.1961  2 P 2.28
Rh  0.0000  0.5000  0.8039  2 P 2.28
Rh  0.5000  0.0000  0.1961  2 P 2.28
Rh  0.5000  0.0000  0.8039  2 P 2.28
Rh  0.5000  0.5000  0.0000  4 Ce 2.87, 8 Rh 2.93, 2 P 3.14

Here is a relaxed structure of CeP2RuRh2 from Alexandria. Energies are from PBE-GGA.

Summary:
M_tot	0.27	μB per formula unit
theoretical density	7.814	g/cm³
E_form	-0.292	eV per atom

Unit cell a=4.4915 b=4.4915 c=5.3613 alpha=90.00 beta=90.00 gamma=90.00
With the nearest neighbours (Å) after each atom.
Atoms (fractional coordinates):
Ce  0.0000  0.0000  0.0000  2 Ru 2.68
P  0.0000  0.5000  0.5000  2 Ru 2.25
P  0.5000  0.0000  0.5000  2 Ru 2.25
Ru  0.0000  0.0000  0.5000  4 P 2.25
Rh  0.5000  0.5000  0.2476  4 P 2.62, 2 Rh 2.66-2.71
Rh  0.5000  0.5000  0.7524  4 P 2.62, 2 Rh 2.66-2.71

Here is a relaxed structure of CeP2Ru2Rh from Alexandria. Energies are from PBE-GGA.

Summary:
M_tot	0.05	μB per formula unit
theoretical density	7.878	g/cm³
E_form	-0.101	eV per atom

Unit cell a=4.5308 b=4.5308 c=5.2071 alpha=90.00 beta=90.00 gamma=90.00
With the nearest neighbours (Å) after each atom.
Atoms (fractional coordinates):
Ce  0.0000  0.0000  0.0000  2 Rh 2.60
P  0.0000  0.5000  0.5000  2 Rh 2.27
P  0.5000  0.0000  0.5000  2 Rh 2.27
Ru  0.5000  0.5000  0.2430  2 Ru 2.53-2.68, 4 P 2.63
Ru  0.5000  0.5000  0.7570  2 Ru 2.53-2.68, 4 P 2.63
Rh  0.0000  0.0000  0.5000  4 P 2.27

Here is a relaxed structure of Ce2P4RuRh3 from Alexandria. Energies are from PBE-GGA.

Summary:
M_tot	0.00	μB per formula unit
theoretical density	8.251	g/cm³
E_form	-1.115	eV per atom

Unit cell a=4.1577 b=4.1577 c=9.4762 alpha=90.00 beta=90.00 gamma=90.00
With the nearest neighbours (Å) after each atom.
Atoms (fractional coordinates):
Ce  0.0000  0.5000  0.2427  8 P 3.10-3.16, 7 Rh 3.18-3.38, 2 Ru 3.20
Ce  0.5000  0.0000  0.7573  8 P 3.10-3.16, 7 Rh 3.18-3.38, 2 Ru 3.20
P  0.0000  0.0000  0.0000  4 Rh 2.34
P  0.0000  0.5000  0.6352  3 Rh 2.38-2.44, 2 Ru 2.44
P  0.5000  0.0000  0.3648  3 Rh 2.38-2.44, 2 Ru 2.44
P  0.5000  0.5000  0.0000  4 Rh 2.34
Ru  0.0000  0.0000  0.5000  4 P 2.44
Rh  0.0000  0.5000  0.8860  5 P 2.34-2.38
Rh  0.5000  0.0000  0.1140  5 P 2.34-2.38
Rh  0.5000  0.5000  0.5000  4 P 2.44

Here is a relaxed structure of Ce2PRh6S from Alexandria. Energies are from PBE-GGA.

Summary:
M_tot	0.53	μB per formula unit
theoretical density	8.946	g/cm³
energy relative to the elements, uncorrected	-7.29	eV per formula unit

Unit cell a=5.5518 b=8.4242 c=7.6258 alpha=90.00 beta=90.00 gamma=90.00
With the nearest neighbours (Å) after each atom.
Atoms (fractional coordinates):
Ce  0.2500  0.0053  0.2328  11 Rh 2.97-3.31
Ce  0.2500  0.4947  0.2328  11 Rh 2.97-3.31
Ce  0.7500  0.5053  0.7672  11 Rh 2.97-3.31
Ce  0.7500  0.9947  0.7672  11 Rh 2.97-3.31
P  0.2500  0.7500  0.7584  6 Rh 2.32-2.37
P  0.7500  0.2500  0.2416  6 Rh 2.32-2.37
Rh  0.0010  0.2500  0.4925  1 P 2.37, 1 S 2.44
Rh  0.0021  0.7500  0.0025  1 S 2.31, 1 P 2.32
Rh  0.2500  0.0018  0.6228  1 S 2.33, 1 P 2.36
Rh  0.2500  0.4982  0.6228  1 S 2.33, 1 P 2.36
Rh  0.4979  0.7500  0.0025  1 S 2.31, 1 P 2.32
Rh  0.4990  0.2500  0.4925  1 P 2.37, 1 S 2.44
Rh  0.5010  0.7500  0.5075  1 P 2.37, 1 S 2.44
Rh  0.5021  0.2500  0.9975  1 S 2.31, 1 P 2.32
Rh  0.7500  0.5018  0.3772  1 S 2.33, 1 P 2.36
Rh  0.7500  0.9982  0.3772  1 S 2.33, 1 P 2.36
Rh  0.9979  0.2500  0.9975  1 S 2.31, 1 P 2.32
Rh  0.9990  0.7500  0.5075  1 P 2.37, 1 S 2.44
S  0.2500  0.2500  0.7563  6 Rh 2.31-2.44
S  0.7500  0.7500  0.2437  6 Rh 2.31-2.44

Here is a relaxed structure of CeSb2P2Rh7 from Alexandria. Energies are from PBE-GGA.

Summary:
M_tot	0.00	μB per formula unit
theoretical density	8.680	g/cm³
energy relative to the elements, uncorrected	-5.71	eV per formula unit

Unit cell a=15.0619 b=15.0619 c=15.0619 alpha=165.20 beta=165.20 gamma=21.00
With the nearest neighbours (Å) after each atom.
Atoms (fractional coordinates):
Ce  0.0000  0.0000  0.0000  12 Rh 2.74-2.94
Sb  0.2128  0.2128  0.0000  5 Rh 2.73-2.79
Sb  0.7872  0.7872  0.0000  5 Rh 2.73-2.79
P  0.3830  0.3830  0.0000  5 Rh 2.31
P  0.6170  0.6170  0.0000  5 Rh 2.31
Rh  0.0747  0.5747  0.5000  2 P 2.31
Rh  0.3051  0.3051  0.0000  1 P 2.31
Rh  0.4253  0.9253  0.5000  2 P 2.31
Rh  0.5000  0.5000  0.0000  4 Ce 2.74, 8 Rh 2.94
Rh  0.5747  0.0747  0.5000  2 P 2.31
Rh  0.6949  0.6949  0.0000  1 P 2.31
Rh  0.9253  0.4253  0.5000  2 P 2.31